meta-GGA SCAN TaBeB2C, single point on PBEsol structure; DFT formation energy = 1.37 eV/atom; space-group type = No. 123; DOS at the Fermi energy = 1.82 states/eV/f.u.
1.0
3.669 0.000 0.000
0.000 3.669 0.000
0.000 0.000 3.345
Ta Be B C
1 1 2 1
direct
0.000 0.000 0.000 Ta
0.500 0.500 0.500 Be
0.000 0.500 0.500 B
0.500 0.000 0.500 B
0.500 0.500 0.000 C

=====

meta-GGA SCAN YCo2Si, single point on PBEsol structure; energy relative to the elements, uncorrected = -0.097 eV/atom; space-group type = No. 25; DOS at the Fermi energy = 2.14 states/eV/f.u.
1.0
2.885 0.000 0.000
0.000 3.135 0.000
0.000 0.000 6.415
Y Co Si
1 2 1
direct
0.000 0.000 0.000 Y
0.000 0.000 0.499 Co
0.500 0.500 0.304 Co
0.500 0.500 0.668 Si

=====

meta-GGA SCAN Ta2TlZn, single point on PBEsol structure; DFT formation energy = 0.22 eV/atom; space-group type = No. 71; DOS at the Fermi energy = 0.94 states/eV/f.u.
1.0
3.804 0.000 0.000
0.000 4.187 0.000
0.000 0.000 8.791
Ta Tl Zn
4 2 2
direct
0.000 0.000 0.245 Ta
0.000 0.000 0.755 Ta
0.500 0.500 0.255 Ta
0.500 0.500 0.745 Ta
0.000 0.500 0.000 Tl
0.500 0.000 0.500 Tl
0.000 0.500 0.500 Zn
0.500 0.000 0.000 Zn

=====

meta-GGA SCAN Cs2HF, single point on PBEsol structure; energy = -22.111 eV/atom; space-group type = No. 122; DOS at the Fermi energy = 0.00 states/eV/f.u.
1.0
6.683 0.000 0.000
0.000 6.683 0.000
0.000 0.000 13.226
Cs H F
8 4 4
direct
0.231 0.250 0.125 Cs
0.250 0.731 0.375 Cs
0.250 0.769 0.875 Cs
0.269 0.250 0.625 Cs
0.731 0.750 0.625 Cs
0.750 0.231 0.875 Cs
0.750 0.269 0.375 Cs
0.769 0.750 0.125 Cs
0.000 0.000 0.500 H
0.000 0.500 0.750 H
0.500 0.000 0.250 H
0.500 0.500 0.000 H
0.000 0.000 0.000 F
0.000 0.500 0.250 F
0.500 0.000 0.750 F
0.500 0.500 0.500 F

=====

meta-GGA SCAN GeSbWI2, single point on PBEsol structure; energy relative to the elements, uncorrected = 1.101 eV/atom; space-group type = No. 123; DOS at the Fermi energy = 3.49 states/eV/f.u.
1.0
5.356 0.000 0.000
0.000 5.356 0.000
0.000 0.000 5.277
Ge Sb W I
1 1 1 2
direct
0.000 0.000 0.000 Ge
0.500 0.500 0.000 Sb
0.500 0.500 0.500 W
0.000 0.500 0.500 I
0.500 0.000 0.500 I

=====

meta-GGA SCAN KYCd2, single point on PBEsol structure; energy above the most stable polymorph in this dataset = 0.205 eV per atom; DFT formation energy = 0.01 eV/atom; space-group type = No. 166; DOS at the Fermi energy = 4.04 states/eV/f.u.
1.0
3.622 0.000 0.000
-1.811 3.137 0.000
0.000 0.000 31.703
K Y Cd
3 3 6
direct
0.000 0.000 0.000 K
0.333 0.667 0.667 K
0.667 0.333 0.333 K
0.000 0.000 0.500 Y
0.333 0.667 0.167 Y
0.667 0.333 0.833 Y
0.000 0.000 0.241 Cd
0.000 0.000 0.759 Cd
0.333 0.667 0.425 Cd
0.333 0.667 0.908 Cd
0.667 0.333 0.092 Cd
0.667 0.333 0.575 Cd

=====

meta-GGA SCAN Li2CoSiO4, single point on PBEsol structure; energy above the most stable polymorph in this dataset = 0.014 eV per atom; energy relative to the elements, uncorrected = -2.371 eV/atom; space-group type = No. 20; DOS at the Fermi energy = 0.00 states/eV/f.u.
1.0
3.613 -3.765 0.000
3.613 3.765 0.000
0.000 0.000 6.197
Li Co Si O
4 2 2 8
direct
0.186 0.814 0.750 Li
0.316 0.316 0.000 Li
0.684 0.684 0.500 Li
0.814 0.186 0.250 Li
0.179 0.821 0.250 Co
0.821 0.179 0.750 Co
0.323 0.323 0.500 Si
0.677 0.677 0.000 Si
0.193 0.197 0.281 O
0.197 0.193 0.719 O
0.293 0.637 0.498 O
0.363 0.707 0.002 O
0.637 0.293 0.502 O
0.707 0.363 0.998 O
0.803 0.807 0.219 O
0.807 0.803 0.781 O

=====

meta-GGA SCAN Al5Fe3O12, single point on PBEsol structure; energy relative to the elements, uncorrected = -2.682 eV/atom; space-group type = No. 12; DOS at the Fermi energy = 0.00 states/eV/f.u.
1.0
4.952 -2.857 0.000
4.952 2.857 0.000
-0.062 0.000 13.920
Al Fe O
10 6 24
direct
0.000 0.500 0.000 Al
0.165 0.671 0.663 Al
0.166 0.166 0.664 Al
0.329 0.835 0.337 Al
0.341 0.341 0.838 Al
0.500 0.000 0.000 Al
0.659 0.659 0.162 Al
0.671 0.165 0.663 Al
0.834 0.834 0.336 Al
0.835 0.329 0.337 Al
0.004 0.004 0.122 Fe
0.329 0.329 0.207 Fe
0.334 0.334 0.453 Fe
0.666 0.666 0.547 Fe
0.671 0.671 0.793 Fe
0.996 0.996 0.878 Fe
0.001 0.001 0.740 O
0.039 0.481 0.747 O
0.157 0.642 0.916 O
0.161 0.677 0.401 O
0.162 0.162 0.401 O
0.183 0.183 0.921 O
0.322 0.322 0.077 O
0.323 0.839 0.599 O
0.334 0.334 0.595 O
0.358 0.843 0.084 O
0.481 0.039 0.747 O
0.484 0.484 0.749 O
0.516 0.516 0.251 O
0.519 0.961 0.253 O
0.642 0.157 0.916 O
0.666 0.666 0.405 O
0.677 0.161 0.401 O
0.678 0.678 0.923 O
0.817 0.817 0.079 O
0.838 0.838 0.599 O
0.839 0.323 0.599 O
0.843 0.358 0.084 O
0.961 0.519 0.253 O
0.999 0.999 0.260 O

=====

Copy entry 8 word for word.
meta-GGA SCAN Al5Fe3O12, single point on PBEsol structure; energy relative to the elements, uncorrected = -2.682 eV/atom; space-group type = No. 12; DOS at the Fermi energy = 0.00 states/eV/f.u.
1.0
4.952 -2.857 0.000
4.952 2.857 0.000
-0.062 0.000 13.920
Al Fe O
10 6 24
direct
0.000 0.500 0.000 Al
0.165 0.671 0.663 Al
0.166 0.166 0.664 Al
0.329 0.835 0.337 Al
0.341 0.341 0.838 Al
0.500 0.000 0.000 Al
0.659 0.659 0.162 Al
0.671 0.165 0.663 Al
0.834 0.834 0.336 Al
0.835 0.329 0.337 Al
0.004 0.004 0.122 Fe
0.329 0.329 0.207 Fe
0.334 0.334 0.453 Fe
0.666 0.666 0.547 Fe
0.671 0.671 0.793 Fe
0.996 0.996 0.878 Fe
0.001 0.001 0.740 O
0.039 0.481 0.747 O
0.157 0.642 0.916 O
0.161 0.677 0.401 O
0.162 0.162 0.401 O
0.183 0.183 0.921 O
0.322 0.322 0.077 O
0.323 0.839 0.599 O
0.334 0.334 0.595 O
0.358 0.843 0.084 O
0.481 0.039 0.747 O
0.484 0.484 0.749 O
0.516 0.516 0.251 O
0.519 0.961 0.253 O
0.642 0.157 0.916 O
0.666 0.666 0.405 O
0.677 0.161 0.401 O
0.678 0.678 0.923 O
0.817 0.817 0.079 O
0.838 0.838 0.599 O
0.839 0.323 0.599 O
0.843 0.358 0.084 O
0.961 0.519 0.253 O
0.999 0.999 0.260 O

=====

Which value of DOS at the Fermi energy does entry 8 give? 0.00 states/eV/f.u.